Record 1
{"formula": "Na2HgPtO4", "functional": "GGA-PBE", "state": "optimized geometry", "space_group": "P2/m", "vol_a3_per_atom": 13.27, "dos_ef_per_ev_cell": 0.0, "e_form_raw_mev_per_atom": -877, "lattice": [[-1.140, -2.609, 1.522], [5.651, -0.984, 2.546], [-3.648, 3.379, 3.059]], "species": ["Hg", "O", "O", "O", "O", "Na", "Na", "Pt"], "fractional_positions": [[0.000, 0.000, 0.000], [0.500, 0.705, 0.807], [0.000, 0.303, 0.782], [0.000, 0.697, 0.218], [0.500, 0.295, 0.193], [0.500, 0.000, 0.500], [0.000, 0.500, 0.500], [0.500, 0.500, 0.000]]}

***

Record 2
{"formula": "Nb4Pd2Rh5", "functional": "GGA-PBE", "state": "optimized geometry", "space_group": "Fmmm", "final_energy_ev_per_cell": -85.5, "vol_a3_per_atom": 19.47, "dos_ef_per_ev_cell": 11.1, "lattice": [[-3.167, -2.668, 3.493], [-1.743, -5.080, -1.258], [5.085, -4.517, 5.361]], "species": ["Pd", "Pd", "Rh", "Rh", "Rh", "Rh", "Rh", "Nb", "Nb", "Nb", "Nb"], "fractional_positions": [[0.771, 0.000, 0.457], [0.229, 0.000, 0.543], [0.250, 0.500, 0.500], [0.750, 0.500, 0.500], [0.500, 0.500, 0.000], [0.000, 0.500, 0.000], [0.500, 0.000, 0.000], [0.215, 0.318, 0.252], [0.533, 0.682, 0.252], [0.785, 0.682, 0.748], [0.467, 0.318, 0.748]]}

***

Record 3
{"formula": "Li2LaPrTl2", "functional": "GGA-PBE", "state": "optimized geometry", "space_group": "P-3m1", "final_energy_ev_per_cell": -20.1, "vol_a3_per_atom": 26.03, "dos_ef_per_ev_cell": 4.3, "lattice": [[-5.007, 1.044, 0.179], [1.680, -4.027, -2.675], [-0.629, -3.974, 5.587]], "species": ["La", "Li", "Li", "Tl", "Tl", "Pr"], "fractional_positions": [[0.000, 0.000, 0.000], [0.667, 0.333, 0.745], [0.333, 0.667, 0.255], [0.667, 0.333, 0.254], [0.333, 0.667, 0.746], [0.000, 0.000, 0.500]]}

***

Record 4
{"formula": "HfTi2Nb", "functional": "GGA-PBE", "state": "optimized geometry", "space_group": "P4/mmm", "vol_a3_per_atom": 18.69, "dos_ef_per_ev_cell": 7.1, "de_polymorph_mev_per_atom": 0, "lattice": [[-1.862, 2.387, 1.483], [0.472, -1.489, 2.987], [5.406, 3.625, 0.953]], "species": ["Ti", "Ti", "Nb", "Hf"], "fractional_positions": [[0.000, 0.000, 0.782], [0.000, 0.000, 0.218], [0.500, 0.500, 0.000], [0.500, 0.500, 0.500]]}

***

Record 5
{"formula": "TiSiB3", "functional": "GGA-PBE", "state": "optimized geometry", "space_group": "Pm-3m", "vol_a3_per_atom": 11.53, "dos_ef_per_ev_cell": 2.8, "e_form_raw_mev_per_atom": 1162, "de_polymorph_mev_per_atom": 0, "lattice": [[3.863, 0.000, 0.000], [0.000, 3.863, 0.000], [0.000, 0.000, 3.863]], "species": ["B", "B", "B", "Si", "Ti"], "fractional_positions": [[0.500, 0.000, 0.000], [0.000, 0.500, 0.000], [0.000, 0.000, 0.500], [0.000, 0.000, 0.000], [0.500, 0.500, 0.500]]}

***

Record 6
{"formula": "Fe2MoIr", "functional": "GGA-PBE", "state": "optimized geometry", "space_group": "R-3m", "final_energy_ev_per_cell": -36.0, "vol_a3_per_atom": 13.75, "dos_ef_per_ev_cell": 5.4, "lattice": [[-2.813, -2.882, 7.992], [-4.933, -3.631, 6.525], [-2.788, -5.235, 6.701]], "species": ["Fe", "Fe", "Ir", "Mo"], "fractional_positions": [[0.998, 0.998, 0.998], [0.502, 0.502, 0.502], [0.250, 0.250, 0.250], [0.750, 0.750, 0.750]]}

***

Record 7
{"formula": "Mn2SnRu", "functional": "GGA-PBE", "state": "optimized geometry", "space_group": "P4/mmm", "final_energy_ev_per_cell": -31.3, "vol_a3_per_atom": 14.97, "dos_ef_per_ev_cell": 3.8, "lattice": [[4.028, 0.000, 0.000], [0.000, 3.856, 0.000], [0.000, 0.000, 3.856]], "species": ["Sn", "Mn", "Mn", "Ru"], "fractional_positions": [[0.500, 0.000, 0.000], [0.000, 0.000, 0.500], [0.000, 0.500, 0.000], [0.500, 0.500, 0.500]]}

***

Record 8
{"formula": "Zr2ZnIn", "functional": "GGA-PBE", "state": "optimized geometry", "space_group": "P4/mmm", "final_energy_ev_per_cell": -22.2, "vol_a3_per_atom": 20.49, "dos_ef_per_ev_cell": 3.5, "lattice": [[4.394, 0.000, 0.000], [0.000, 4.394, 0.000], [0.000, 0.000, 4.245]], "species": ["Zn", "Zr", "Zr", "In"], "fractional_positions": [[0.000, 0.500, 0.500], [0.000, 0.000, 0.000], [0.500, 0.500, 0.000], [0.500, 0.000, 0.500]]}

***

Record 9
{"formula": "PC5", "functional": "GGA-PBE", "state": "optimized geometry", "space_group": "P6/mmm", "vol_a3_per_atom": 7.60, "dos_ef_per_ev_cell": 2.0, "de_polymorph_mev_per_atom": 2311, "lattice": [[-4.692, -0.510, -0.016], [2.588, -1.857, -3.483], [0.214, -2.007, 1.228]], "species": ["P", "C", "C", "C", "C", "C"], "fractional_positions": [[0.000, 0.000, 0.000], [0.333, 0.667, 0.000], [0.667, 0.333, 0.000], [0.500, 0.000, 0.500], [0.000, 0.500, 0.500], [0.500, 0.500, 0.500]]}

***

Record 10
{"formula": "V2ReHRu", "functional": "GGA-PBE", "state": "optimized geometry", "space_group": "P4/mmm", "vol_a3_per_atom": 11.63, "dos_ef_per_ev_cell": 5.2, "de_polymorph_mev_per_atom": 56, "lattice": [[-0.972, 3.745, 0.702], [-2.618, -1.183, 2.685], [2.647, 0.187, 2.664]], "species": ["V", "V", "Ru", "Re", "H"], "fractional_positions": [[0.000, 0.500, 0.000], [0.500, 0.000, 0.000], [0.500, 0.500, 0.500], [0.000, 0.000, 0.500], [0.000, 0.000, 0.000]]}

***

Record 11
{"formula": "Sm2YHo3Se6", "functional": "GGA-PBE", "state": "optimized geometry", "space_group": "C2/m", "vol_a3_per_atom": 24.37, "dos_ef_per_ev_cell": 5.5, "e_form_raw_mev_per_atom": -1762, "lattice": [[-2.596, 1.075, -2.958], [1.854, -6.897, -4.135], [-5.595, -2.922, 6.663]], "species": ["Ho", "Ho", "Ho", "Sm", "Sm", "Se", "Se", "Se", "Se", "Se", "Se", "Y"], "fractional_positions": [[0.831, 0.167, 0.663], [0.169, 0.833, 0.337], [0.500, 0.500, 0.000], [0.168, 0.335, 0.336], [0.832, 0.665, 0.664], [0.666, 0.075, 0.333], [0.997, 0.251, 0.994], [0.336, 0.411, 0.673], [0.334, 0.925, 0.667], [0.003, 0.749, 0.006], [0.664, 0.589, 0.327], [0.500, 0.000, 0.000]]}

***

Record 12
{"formula": "Tb8Pm2Sm", "functional": "GGA-PBE", "state": "optimized geometry", "space_group": "Immm", "vol_a3_per_atom": 33.10, "dos_ef_per_ev_cell": 15.4, "de_polymorph_mev_per_atom": 0, "lattice": [[-0.566, -4.482, 3.264], [7.861, -1.863, -1.194], [-1.638, 7.563, 5.342]], "species": ["Tb", "Tb", "Tb", "Tb", "Tb", "Tb", "Tb", "Tb", "Sm", "Pm", "Pm"], "fractional_positions": [[0.363, 0.569, 0.725], [0.000, 0.294, 0.000], [0.161, 0.161, 0.322], [0.000, 0.706, 0.000], [0.637, 0.431, 0.275], [0.637, 0.844, 0.275], [0.363, 0.156, 0.725], [0.839, 0.839, 0.678], [0.500, 0.000, 0.000], [0.799, 0.300, 0.599], [0.201, 0.700, 0.401]]}